[1]
First-principles (PBE-GGA) data for an optimized crystal structure of CeDy3Mg4, as listed in Alexandria via LeMat-Bulk.

Unit cell a=3.7694 b=5.3904 c=10.7638 alpha=90.00 beta=90.00 gamma=90.00
Last column: nearest neighbours and their distance in Å.
Positions (direct):
Ce  0.0000  0.0000  0.0000  8 Mg 3.29-3.32
Dy  0.0000  0.0000  0.5000  8 Mg 3.25-3.29
Dy  0.0000  0.5000  0.2493  8 Mg 3.28-3.29
Dy  0.0000  0.5000  0.7507  8 Mg 3.28-3.29
Mg  0.5000  0.0000  0.2542  6 Dy 3.25-3.29, 2 Ce 3.32
Mg  0.5000  0.0000  0.7458  6 Dy 3.25-3.29, 2 Ce 3.32
Mg  0.5000  0.5000  0.0000  4 Dy 3.28, 4 Ce 3.29
Mg  0.5000  0.5000  0.5000  8 Dy 3.29

Output
Symmetry = No. 47
ΔH_f (0 K) = -39 meV/atom
E_tot = -3.303 eV per atom
Calculated volume = 219 Å³/cell
Magnetization = 1.0 μB per cell

---

[2]
First-principles (PBE-GGA) data for an optimized crystal structure of MgReOs, as listed in Alexandria via LeMat-Bulk.

Unit cell a=5.6620 b=5.6620 c=5.6620 alpha=149.72 beta=149.72 gamma=43.35
Last column: nearest neighbours and their distance in Å.
Positions (direct):
Mg  0.0000  0.0000  0.0000  4 Os 2.77, 4 Re 2.82, 4 Mg 2.96
Re  0.3200  0.3200  0.0000  4 Os 2.60, 4 Mg 2.82
Os  0.6725  0.6725  0.0000  4 Re 2.60, 4 Mg 2.77

Output
Symmetry = No. 107
ΔH_f (0 K) = 117 meV/atom
ΔE to the lowest computed polymorph = 0.00 eV/f.u.
E_tot = -8.308 eV per atom
Calculated volume = 46 Å³/cell
Magnetization = 0.0 μB per cell

---

[3]
First-principles (PBE-GGA) data for an optimized crystal structure of YGeIr2Ru, as listed in Alexandria via LeMat-Bulk.

Unit cell a=4.9410 b=4.9410 c=5.1335 alpha=90.00 beta=90.00 gamma=90.00
Last column: nearest neighbours and their distance in Å.
Positions (direct):
Y  0.0000  0.0000  0.0000  4 Ir 2.47, 2 Ge 2.57
Ge  0.0000  0.0000  0.5000  2 Y 2.57
Ir  0.0000  0.5000  0.0000  2 Y 2.47
Ir  0.5000  0.0000  0.0000  2 Y 2.47
Ru  0.5000  0.5000  0.5000  4 Ge 3.49, 8 Ir 3.56

Output
Symmetry = No. 123
ΔH_f (0 K) = 2100 meV/atom
E_tot = -5.516 eV per atom
Calculated volume = 125 Å³/cell
Magnetization = 3.2 μB per cell

---

[4]
First-principles (PBE-GGA) data for an optimized crystal structure of AcPmCdSb, as listed in Alexandria via LeMat-Bulk.

Unit cell a=5.6008 b=5.6008 c=5.6008 alpha=60.00 beta=60.00 gamma=60.00
Last column: nearest neighbours and their distance in Å.
Positions (direct):
Ac  0.0000  0.0000  0.0000  4 Cd 3.43, 4 Sb 3.43
Pm  0.5000  0.5000  0.5000  4 Cd 3.43, 4 Sb 3.43
Cd  0.7500  0.7500  0.7500  4 Ac 3.43, 4 Pm 3.43
Sb  0.2500  0.2500  0.2500  4 Ac 3.43, 4 Pm 3.43

Output
Symmetry = No. 216
E_tot = -4.023 eV per atom
Calculated volume = 124 Å³/cell
Magnetization = 0.0 μB per cell

---

[5]
First-principles (PBE-GGA) data for an optimized crystal structure of Mn2As2Ru, as listed in Alexandria via LeMat-Bulk.

Unit cell a=6.6274 b=6.6274 c=3.3691 alpha=90.00 beta=90.00 gamma=90.00
Last column: nearest neighbours and their distance in Å.
Positions (direct):
Mn  0.1424  0.3576  0.0000  6 As 2.54-2.59, 1 Mn 2.67
Mn  0.3576  0.8576  0.0000  6 As 2.54-2.59, 1 Mn 2.67
Mn  0.6424  0.1424  0.0000  6 As 2.54-2.59, 1 Mn 2.67
Mn  0.8576  0.6424  0.0000  6 As 2.54-2.59, 1 Mn 2.67
As  0.1551  0.6551  0.5000  2 Ru 2.51, 6 Mn 2.54-2.59
As  0.3449  0.1551  0.5000  2 Ru 2.51, 6 Mn 2.54-2.59
As  0.6551  0.8449  0.5000  2 Ru 2.51, 6 Mn 2.54-2.59
As  0.8449  0.3449  0.5000  2 Ru 2.51, 6 Mn 2.54-2.59
Ru  0.0000  0.0000  0.5000  4 As 2.51
Ru  0.5000  0.5000  0.5000  4 As 2.51

Output
Symmetry = No. 127
ΔH_f (0 K) = -33 meV/atom
E_tot = -7.416 eV per atom
Calculated volume = 148 Å³/cell
Magnetization = 12.7 μB per cell

---

[6]
First-principles (PBE-GGA) data for an optimized crystal structure of Sm2Er4Zr, as listed in Alexandria via LeMat-Bulk.

Unit cell a=19.7236 b=19.7236 c=19.7236 alpha=10.28 beta=10.28 gamma=10.28
Last column: nearest neighbours and their distance in Å.
Positions (direct):
Sm  0.0000  0.0000  0.0000  6 Er 3.53-3.56, 6 Sm 3.53
Sm  0.0982  0.0982  0.0982  6 Er 3.51-3.59, 6 Sm 3.53
Er  0.2844  0.2844  0.2844  9 Er 3.51-3.53, 3 Sm 3.53
Er  0.3830  0.3830  0.3830  6 Sm 3.51-3.56, 6 Er 3.53
Er  0.8152  0.8152  0.8152  3 Zr 3.28, 6 Er 3.53, 3 Sm 3.59
Er  0.9024  0.9024  0.9024  3 Zr 3.28, 9 Er 3.51-3.53
Zr  0.1921  0.1921  0.1921  6 Er 3.28, 6 Zr 3.53

Output
Symmetry = No. 160
ΔH_f (0 K) = 38 meV/atom
E_tot = -5.139 eV per atom
Calculated volume = 212 Å³/cell
Magnetization = 0.0 μB per cell

---

[7]
First-principles (PBE-GGA) data for an optimized crystal structure of NaAc3Sn3, as listed in Alexandria via LeMat-Bulk.

Unit cell a=10.1760 b=10.1760 c=6.6352 alpha=90.00 beta=90.00 gamma=120.00
Last column: nearest neighbours and their distance in Å.
Positions (direct):
Na  0.3333  0.6667  0.2500  3 Sn 3.12
Na  0.6667  0.3333  0.7500  3 Sn 3.12
Ac  0.0323  0.6970  0.7500  5 Sn 3.33-3.52, 1 Na 3.71
Ac  0.3030  0.3352  0.7500  5 Sn 3.33-3.52, 1 Na 3.71
Ac  0.3352  0.0323  0.2500  5 Sn 3.33-3.52, 1 Na 3.71
Ac  0.6648  0.9677  0.7500  5 Sn 3.33-3.52, 1 Na 3.71
Ac  0.6970  0.6648  0.2500  5 Sn 3.33-3.52, 1 Na 3.71
Ac  0.9677  0.3030  0.2500  5 Sn 3.33-3.52, 1 Na 3.71
Sn  0.0234  0.6606  0.2500  1 Na 3.12, 4 Ac 3.33-3.39
Sn  0.3394  0.3628  0.2500  1 Na 3.12, 4 Ac 3.33-3.39
Sn  0.3628  0.0234  0.7500  1 Na 3.12, 4 Ac 3.33-3.39
Sn  0.6372  0.9766  0.2500  1 Na 3.12, 4 Ac 3.33-3.39
Sn  0.6606  0.6372  0.7500  1 Na 3.12, 4 Ac 3.33-3.39
Sn  0.9766  0.3394  0.7500  1 Na 3.12, 4 Ac 3.33-3.39

Output
Symmetry = No. 176
ΔH_f (0 K) = -352 meV/atom
E_tot = -4.017 eV per atom
Calculated volume = 595 Å³/cell
Magnetization = 0.0 μB per cell

---

[8]
First-principles (PBE-GGA) data for an optimized crystal structure of SmThTlPd, as listed in Alexandria via LeMat-Bulk.

Unit cell a=5.3152 b=5.3152 c=5.3152 alpha=60.00 beta=60.00 gamma=60.00
Last column: nearest neighbours and their distance in Å.
Positions (direct):
Sm  0.0000  0.0000  0.0000  4 Tl 3.25, 4 Pd 3.25
Th  0.5000  0.5000  0.5000  4 Tl 3.25, 4 Pd 3.25
Tl  0.7500  0.7500  0.7500  4 Th 3.25, 4 Sm 3.25
Pd  0.2500  0.2500  0.2500  4 Th 3.25, 4 Sm 3.25

Output
Symmetry = No. 216
ΔH_f (0 K) = -362 meV/atom
E_tot = -5.287 eV per atom
Calculated volume = 106 Å³/cell
Magnetization = 0.0 μB per cell

---

[9]
First-principles (PBE-GGA) data for an optimized crystal structure of Mn2AgRh, as listed in Alexandria via LeMat-Bulk.

Unit cell a=4.9978 b=4.9978 c=4.5012 alpha=106.94 beta=106.94 gamma=35.39
Last column: nearest neighbours and their distance in Å.
Positions (direct):
Mn  0.0000  0.0000  0.0000  4 Rh 2.67-2.76, 3 Ag 2.70-2.72, 2 Mn 2.90
Mn  0.2427  0.2427  0.6516  3 Rh 2.62-2.77, 4 Ag 2.69-2.74, 2 Mn 2.90
Ag  0.7491  0.7491  0.1614  7 Mn 2.69-2.74, 2 Rh 2.92
Rh  0.5075  0.5075  0.5166  7 Mn 2.62-2.77, 2 Ag 2.92

Output
Symmetry = No. 8
ΔH_f (0 K) = 161 meV/atom
E_tot = -6.974 eV per atom
Calculated volume = 62 Å³/cell
Magnetization = 8.5 μB per cell

---

[10]
First-principles (PBE-GGA) data for an optimized crystal structure of Mn2TlIn, as listed in Alexandria via LeMat-Bulk.

Unit cell a=4.3434 b=4.3434 c=3.9948 alpha=90.00 beta=90.00 gamma=90.00
Last column: nearest neighbours and their distance in Å.
Positions (direct):
Mn  0.0000  0.5000  0.0000  4 In 2.95, 4 Tl 2.95, 4 Mn 3.07
Mn  0.5000  0.0000  0.0000  4 In 2.95, 4 Tl 2.95, 4 Mn 3.07
Tl  0.0000  0.0000  0.5000  8 Mn 2.95, 4 In 3.07
In  0.5000  0.5000  0.5000  8 Mn 2.95, 4 Tl 3.07

Output
Symmetry = No. 123
ΔH_f (0 K) = 403 meV/atom
ΔE to the lowest computed polymorph = 0.05 eV/f.u.
E_tot = -5.458 eV per atom
Calculated volume = 75 Å³/cell
Magnetization = 7.1 μB per cell